A plane-wave DFT calculation with PBE-GGA was carried out for a relaxed structure of KDyPd.

Cell and atoms, written as POSCAR:
```
KDyPd
1.0
3.017 -1.809 -3.608
3.461 -3.486 1.123
-0.574 -4.735 -1.625
Dy K Pd
1 1 1
Cartesian
2.952 -5.015 -2.055 Dy
0.000 0.000 0.000 K
1.476 -2.507 -1.028 Pd
```

Calculated values
Its total energy is -0.262 Ry/atom.

A plane-wave DFT calculation with PBE-GGA was carried out for a relaxed structure of KDyPdSe3.

Cell and atoms, written as POSCAR:
```
KDyPdSe3
1.0
-4.462 6.289 4.317
-3.521 -1.257 -1.807
0.152 -8.232 5.432
Dy K Pd Se
2 2 2 6
Cartesian
-5.659 2.159 2.366 Dy
-2.172 -5.360 5.575 Dy
-3.579 -1.588 0.922 K
-4.252 -1.613 7.020 K
-4.876 2.009 5.715 Pd
-2.955 -5.210 2.227 Pd
-4.902 4.175 4.260 Se
-2.904 1.262 2.393 Se
-6.053 0.158 4.526 Se
-1.778 -3.358 3.416 Se
-4.928 -4.463 5.549 Se
-2.929 -7.375 3.681 Se
```

Calculated values
Its total energy is -0.347 Ry/atom.

A plane-wave DFT calculation with PBE-GGA was carried out for a relaxed structure of KPmDy.

Cell and atoms, written as POSCAR:
```
KPmDy
1.0
0.000 4.183 4.183
4.183 0.000 4.183
4.183 4.183 0.000
Dy K Pm
1 1 1
Cartesian
4.183 4.183 4.183 Dy
0.000 0.000 0.000 K
2.092 2.092 2.092 Pm
```

Calculated values
Its distance to the lowest polymorph of the same formula is 0 meV per atom.

A plane-wave DFT calculation with PBE-GGA was carried out for a relaxed structure of KDyTe3Pt.

Cell and atoms, written as POSCAR:
```
KDyTe3Pt
1.0
1.148 6.851 -5.799
-3.836 -7.782 2.568
-7.590 5.319 4.781
Dy K Pt Te
2 2 2 6
Cartesian
-1.344 -0.466 -1.615 Dy
-5.139 2.194 0.776 Dy
-4.462 -2.720 1.630 K
-5.816 7.108 -0.078 K
-0.764 8.140 -4.580 Pt
-9.514 -3.753 6.131 Pt
-0.063 5.578 -4.424 Te
-2.780 2.217 -1.194 Te
-2.603 7.357 -2.824 Te
-7.675 -2.970 4.375 Te
-7.497 2.170 2.745 Te
-10.214 -1.191 5.975 Te
```

Calculated values
Its total energy is -0.329 Ry/atom.

A plane-wave DFT calculation with PBE-GGA was carried out for a relaxed structure of KDy2S4.

Cell and atoms, written as POSCAR:
```
KDy2S4
1.0
-5.405 -6.368 -0.468
0.034 -5.956 5.876
-6.321 -0.531 5.455
Dy K S
4 2 8
Cartesian
-1.462 -1.607 1.358 Dy
-4.164 -4.791 1.124 Dy
-1.445 -4.585 4.296 Dy
-4.622 -1.872 4.085 Dy
-5.846 -6.427 5.431 K
-8.770 -9.641 8.147 K
-6.812 -11.187 6.569 S
-4.143 -8.007 7.252 S
-4.162 -4.576 3.867 S
-7.277 -8.245 3.597 S
-10.454 -11.493 9.711 S
-10.473 -8.061 6.326 S
-7.340 -7.824 9.981 S
-7.804 -4.882 7.009 S
```

Calculated values
Its total energy is -0.400 Ry/atom.

A plane-wave DFT calculation with PBE-GGA was carried out for a relaxed structure of K2DyS2.

Cell and atoms, written as POSCAR:
```
K2DyS2
1.0
-4.360 -4.178 -9.427
6.617 -5.303 -0.710
-3.125 -4.350 3.374
Dy K S
4 8 8
Cartesian
-1.167 -5.760 -5.539 Dy
3.442 -7.165 -3.081 Dy
-4.311 -6.667 -3.682 Dy
0.298 -8.072 -1.225 Dy
0.108 -2.807 -3.520 K
2.149 -6.674 -6.617 K
1.855 -3.964 -0.423 K
1.671 -9.963 -8.330 K
-1.454 -4.983 -1.833 K
0.586 -8.850 -4.930 K
-2.539 -3.869 1.567 K
-2.723 -9.868 -6.340 K
-1.140 -2.110 -0.807 S
-2.766 -3.791 -4.482 S
-0.703 -7.514 -7.371 S
1.063 -5.944 -3.711 S
-1.931 -7.888 -3.052 S
-0.165 -6.318 0.608 S
1.898 -10.041 -2.281 S
0.271 -11.722 -5.956 S
```

Calculated values
Its total energy is -0.306 Ry/atom.

Calculated density, respectively: 5.7, 5.3, 3.9, 6.6, 3.9, 3.4 g/cm³.